Record 1
VASP calculation (GGA-PBEsol) on BaMg4Ge3 after structural relaxation.

Computed properties:
ΔE_f, kcal/mol of atoms: -9.795

abc: 4.616 4.616 8.684
angles: 90.00 90.00 90.00
Sites, in units of the cell vectors:
Mg: 0.000 0.500 0.319
Ge: 0.500 0.500 0.853
Ba: 0.000 0.000 0.000
Mg: 0.000 0.500 0.681
Mg: 0.500 0.000 0.681
Ge: 0.500 0.500 0.147
Ge: 0.000 0.000 0.500
Mg: 0.500 0.000 0.319

---

Record 2
VASP calculation (GGA-PBEsol) on Ba3MgGeN4 after structural relaxation.

Computed properties:
ΔE_f (raw), eV per atom: -0.69

abc: 6.209 10.085 10.589
angles: 90.00 90.00 90.00
Sites, in units of the cell vectors:
N: 0.526 0.666 0.583
Ba: 0.250 0.909 0.500
Ba: 0.385 0.590 0.344
Ba: 0.885 0.090 0.156
N: 0.631 0.867 0.365
Ba: 0.750 0.409 0.000
Mg: 0.659 0.750 0.750
N: 0.026 0.166 0.917
Ba: 0.750 0.091 0.500
N: 0.974 0.834 0.083
Ba: 0.115 0.590 0.656
N: 0.474 0.166 0.083
N: 0.974 0.666 0.417
Ba: 0.250 0.591 0.000
N: 0.631 0.633 0.135
N: 0.869 0.633 0.865
N: 0.026 0.334 0.583
Ba: 0.885 0.410 0.344
Ge: 0.750 0.733 0.000
N: 0.369 0.133 0.635
N: 0.526 0.834 0.917
Mg: 0.841 0.750 0.250
Ge: 0.750 0.767 0.500
Ba: 0.615 0.090 0.844
Ba: 0.385 0.910 0.156
N: 0.369 0.367 0.865
Mg: 0.159 0.250 0.750
N: 0.474 0.334 0.417
N: 0.131 0.133 0.365
Ba: 0.115 0.910 0.844
Mg: 0.341 0.250 0.250
Ba: 0.615 0.410 0.656
N: 0.131 0.367 0.135
Ge: 0.250 0.233 0.500
N: 0.869 0.867 0.635
Ge: 0.250 0.267 0.000

---

Record 3
VASP calculation (GGA-PBEsol) on Ba2MgGe2O7 after structural relaxation.

Computed properties:
ΔE_f (raw), eV per atom: -2.40

abc: 5.542 8.393 8.393
angles: 90.00 90.00 90.00
Sites, in units of the cell vectors:
O: 0.271 0.862 0.362
O: 0.271 0.138 0.638
O: 0.188 0.183 0.079
Ge: 0.958 0.859 0.359
Ba: 0.509 0.335 0.835
Mg: 0.000 0.500 0.500
O: 0.188 0.579 0.683
O: 0.812 0.683 0.421
Ba: 0.509 0.665 0.165
Mg: 0.000 0.000 0.000
Ge: 0.042 0.359 0.141
Ge: 0.042 0.641 0.859
O: 0.812 0.317 0.579
Ba: 0.491 0.165 0.335
O: 0.188 0.817 0.921
O: 0.188 0.421 0.317
O: 0.164 0.500 0.000
Ba: 0.491 0.835 0.665
O: 0.729 0.362 0.138
O: 0.729 0.638 0.862
O: 0.836 0.000 0.500
O: 0.812 0.921 0.183
O: 0.812 0.079 0.817
Ge: 0.958 0.141 0.641

---

Record 4
VASP calculation (GGA-PBEsol) on BaMn2Ge2 after structural relaxation.

Computed properties:
ΔE_f, kcal/mol of atoms: -4.808

abc: 4.023 4.023 6.854
angles: 107.07 107.07 90.00
Sites, in units of the cell vectors:
Mn: 0.750 0.250 0.500
Mn: 0.250 0.750 0.500
Ge: 0.646 0.646 0.293
Ge: 0.354 0.354 0.707
Ba: 0.000 0.000 0.000

---

Copy entry 4 word for word.
VASP calculation (GGA-PBEsol) on BaMn2Ge2 after structural relaxation.

Computed properties:
ΔE_f, kcal/mol of atoms: -4.808

abc: 4.023 4.023 6.854
angles: 107.07 107.07 90.00
Sites, in units of the cell vectors:
Mn: 0.750 0.250 0.500
Mn: 0.250 0.750 0.500
Ge: 0.646 0.646 0.293
Ge: 0.354 0.354 0.707
Ba: 0.000 0.000 0.000